# 1
# Y6Tl3AsSe2 | Alexandria | GGA-PBE | relaxed
# energy relative to the elements, uncorrected: -1203 kJ/mol of formula units
# size of the total moment: 0.0 μB per formula unit
# V: 652 Å³/cell
# DOS(E_F): 6.890 states/eV/f.u.
# final energy: -139.9 eV for the cell shown
data_Y6Tl3AsSe2
_chemical_formula_sum 'Y12 Tl6 As2 Se4'
_cell_length_a 6.900
_cell_length_b 11.959
_cell_length_c 8.231
_cell_angle_alpha 90.00
_cell_angle_beta 106.21
_cell_angle_gamma 90.00
_symmetry_space_group_name_H-M 'C 1 2/m 1'
_symmetry_Int_Tables_number 12
loop_
_symmetry_equiv_pos_as_xyz
'x,y,z'
'-x,-y,-z'
'-x,y,-z'
'x,-y,z'
'x+1/2,y+1/2,z'
'-x+1/2,-y+1/2,-z'
'-x+1/2,y+1/2,-z'
'x+1/2,-y+1/2,z'
loop_
_atom_site_label
_atom_site_fract_x
_atom_site_fract_y
_atom_site_fract_z
Y1 0.236 0.165 0.215
Y2 0.245 0.500 0.220
Tl1 0.000 0.171 0.500
Tl2 0.000 0.500 0.500
As1 0.000 0.000 0.000
Se1 0.000 0.334 0.000

***

# 2
# Y8Tl4AsSe3 | Alexandria | GGA-PBE | relaxed
# energy relative to the elements, uncorrected: -1620 kJ/mol of formula units
# size of the total moment: 0.0 μB per formula unit
# V: 868 Å³/cell
# DOS(E_F): 8.573 states/eV/f.u.
# final energy: -186.1 eV for the cell shown
data_Y8Tl4AsSe3
_chemical_formula_sum 'Y16 Tl8 As2 Se6'
_cell_length_a 13.813
_cell_length_b 7.955
_cell_length_c 9.148
_cell_angle_alpha 90.00
_cell_angle_beta 120.28
_cell_angle_gamma 90.00
_symmetry_space_group_name_H-M 'C 1 2/m 1'
_symmetry_Int_Tables_number 12
loop_
_symmetry_equiv_pos_as_xyz
'x,y,z'
'-x,-y,-z'
'-x,y,-z'
'x,-y,z'
'x+1/2,y+1/2,z'
'-x+1/2,-y+1/2,-z'
'-x+1/2,y+1/2,-z'
'x+1/2,-y+1/2,z'
loop_
_atom_site_label
_atom_site_fract_x
_atom_site_fract_y
_atom_site_fract_z
Y1 0.010 0.247 0.283
Y2 0.237 0.000 0.717
Y3 0.240 0.500 0.721
Tl1 0.000 0.000 0.000
Tl2 0.000 0.500 0.000
Tl3 0.250 0.250 0.000
As1 0.000 0.000 0.500
Se1 0.000 0.500 0.500
Se2 0.250 0.250 0.500

***

# 3
# YTlAsSe2 | Alexandria | GGA-PBE | relaxed
# polymorph energy (0 for the lowest one): 521 meV per atom
# energy relative to the elements, uncorrected: 65 kJ/mol of formula units
# size of the total moment: 0.0 μB per formula unit
# V: 146 Å³/cell
# DOS(E_F): 2.560 states/eV/f.u.
# final energy: -19.8 eV for the cell shown
data_YTlAsSe2
_chemical_formula_sum 'Y1 Tl1 As1 Se2'
_cell_length_a 5.297
_cell_length_b 5.297
_cell_length_c 5.201
_cell_angle_alpha 90.00
_cell_angle_beta 90.00
_cell_angle_gamma 90.00
_symmetry_space_group_name_H-M 'P 4/m m m'
_symmetry_Int_Tables_number 123
_symmetry_space_group_name_Hall '-P 4 2'
loop_
_atom_site_label
_atom_site_fract_x
_atom_site_fract_y
_atom_site_fract_z
Y1 0.000 0.000 0.000
Tl1 0.500 0.500 0.500
As1 0.500 0.500 0.000
Se1 0.000 0.500 0.500

***

# 4
# YTl2AsSe4 | Alexandria | GGA-PBE | relaxed
# energy relative to the elements, uncorrected: -579 kJ/mol of formula units
# size of the total moment: 0.0 μB per formula unit
# V: 891 Å³/cell
# DOS(E_F): 0.352 states/eV/f.u.
# final energy: -143.1 eV for the cell shown
data_YTl2AsSe4
_chemical_formula_sum 'Y4 Tl8 As4 Se16'
_cell_length_a 8.537
_cell_length_b 8.596
_cell_length_c 12.146
_cell_angle_alpha 90.00
_cell_angle_beta 90.00
_cell_angle_gamma 90.00
_symmetry_space_group_name_H-M 'I m m a'
_symmetry_Int_Tables_number 74
_symmetry_space_group_name_Hall '-I 2b 2'
loop_
_atom_site_label
_atom_site_fract_x
_atom_site_fract_y
_atom_site_fract_z
Y1 0.250 0.250 0.250
Tl1 0.000 0.000 0.000
Tl2 0.250 0.250 0.750
As1 0.000 0.000 0.500
Se1 0.000 0.025 0.270
Se2 0.214 0.250 0.488

***

# 5
# Y6TlAs2Se3 | Alexandria | GGA-PBE | relaxed
# energy relative to the elements, uncorrected: -1710 kJ/mol of formula units
# size of the total moment: 0.0 μB per formula unit
# V: 612 Å³/cell
# DOS(E_F): 3.671 states/eV/f.u.
# final energy: -157.2 eV for the cell shown
data_Y6TlAs2Se3
_chemical_formula_sum 'Y12 Tl2 As4 Se6'
_cell_length_a 18.166
_cell_length_b 4.113
_cell_length_c 8.418
_cell_angle_alpha 90.00
_cell_angle_beta 103.26
_cell_angle_gamma 90.00
_symmetry_space_group_name_H-M 'C 1 2/m 1'
_symmetry_Int_Tables_number 12
loop_
_symmetry_equiv_pos_as_xyz
'x,y,z'
'-x,-y,-z'
'-x,y,-z'
'x,-y,z'
'x+1/2,y+1/2,z'
'-x+1/2,-y+1/2,-z'
'-x+1/2,y+1/2,-z'
'x+1/2,-y+1/2,z'
loop_
_atom_site_label
_atom_site_fract_x
_atom_site_fract_y
_atom_site_fract_z
Y1 0.003 0.000 0.261
Y2 0.169 0.500 0.094
Y3 0.171 0.500 0.576
Tl1 0.000 0.500 0.000
As1 0.167 0.000 0.336
Se1 0.000 0.500 0.500
Se2 0.167 0.000 0.831

***

# 6
# YTlAs2Se | Alexandria | GGA-PBE | relaxed
# polymorph energy (0 for the lowest one): 0 meV per atom
# energy relative to the elements, uncorrected: -41 kJ/mol of formula units
# size of the total moment: 0.0 μB per formula unit
# V: 167 Å³/cell
# DOS(E_F): 5.949 states/eV/f.u.
# final energy: -22.0 eV for the cell shown
data_YTlAs2Se
_chemical_formula_sum 'Y1 Tl1 As2 Se1'
_cell_length_a 5.502
_cell_length_b 5.502
_cell_length_c 5.505
_cell_angle_alpha 90.00
_cell_angle_beta 90.00
_cell_angle_gamma 90.00
_symmetry_space_group_name_H-M 'P 4/m m m'
_symmetry_Int_Tables_number 123
_symmetry_space_group_name_Hall '-P 4 2'
loop_
_atom_site_label
_atom_site_fract_x
_atom_site_fract_y
_atom_site_fract_z
Y1 0.000 0.000 0.000
Tl1 0.500 0.500 0.500
As1 0.000 0.500 0.000
Se1 0.000 0.000 0.500

***

# 7
# Y4Tl2AsSe | Alexandria | GGA-PBE | relaxed
# energy relative to the elements, uncorrected: -785 kJ/mol of formula units
# size of the total moment: 0.0 μB per formula unit
# V: 218 Å³/cell
# DOS(E_F): 3.599 states/eV/f.u.
# final energy: -46.9 eV for the cell shown
data_Y4Tl2AsSe
_chemical_formula_sum 'Y4 Tl2 As1 Se1'
_cell_length_a 6.927
_cell_length_b 3.991
_cell_length_c 8.221
_cell_angle_alpha 90.00
_cell_angle_beta 106.29
_cell_angle_gamma 90.00
_symmetry_space_group_name_H-M 'P 1 2/m 1'
_symmetry_Int_Tables_number 10
loop_
_symmetry_equiv_pos_as_xyz
'x,y,z'
'-x,-y,-z'
'-x,y,-z'
'x,-y,z'
loop_
_atom_site_label
_atom_site_fract_x
_atom_site_fract_y
_atom_site_fract_z
Y1 0.234 0.000 0.214
Y2 0.256 0.500 0.782
Tl1 0.000 0.000 0.500
Tl2 0.500 0.500 0.500
As1 0.000 0.500 0.000
Se1 0.500 0.000 0.000

***

# 8
# YTlAs2Se | Alexandria | GGA-PBE | relaxed
# polymorph energy (0 for the lowest one): 442 meV per atom
# energy relative to the elements, uncorrected: 172 kJ/mol of formula units
# size of the total moment: 0.0 μB per formula unit
# V: 145 Å³/cell
# DOS(E_F): 5.213 states/eV/f.u.
# final energy: -19.8 eV for the cell shown
data_YTlAs2Se
_chemical_formula_sum 'Y1 Tl1 As2 Se1'
_cell_length_a 5.208
_cell_length_b 5.208
_cell_length_c 5.335
_cell_angle_alpha 90.00
_cell_angle_beta 90.00
_cell_angle_gamma 90.00
_symmetry_space_group_name_H-M 'P 4/m m m'
_symmetry_Int_Tables_number 123
_symmetry_space_group_name_Hall '-P 4 2'
loop_
_atom_site_label
_atom_site_fract_x
_atom_site_fract_y
_atom_site_fract_z
Y1 0.000 0.000 0.000
Tl1 0.500 0.500 0.500
As1 0.000 0.500 0.500
Se1 0.500 0.500 0.000

***

# 9
# YTlAsSe2 | Alexandria | GGA-PBE | relaxed
# polymorph energy (0 for the lowest one): 0 meV per atom
# energy relative to the elements, uncorrected: -186 kJ/mol of formula units
# size of the total moment: 1.2 μB per formula unit
# V: 170 Å³/cell
# DOS(E_F): 3.719 states/eV/f.u.
# final energy: -22.4 eV for the cell shown
data_YTlAsSe2
_chemical_formula_sum 'Y1 Tl1 As1 Se2'
_cell_length_a 5.518
_cell_length_b 5.518
_cell_length_c 5.578
_cell_angle_alpha 90.00
_cell_angle_beta 90.00
_cell_angle_gamma 90.00
_symmetry_space_group_name_H-M 'P 4/m m m'
_symmetry_Int_Tables_number 123
_symmetry_space_group_name_Hall '-P 4 2'
loop_
_atom_site_label
_atom_site_fract_x
_atom_site_fract_y
_atom_site_fract_z
Y1 0.000 0.000 0.000
Tl1 0.500 0.500 0.500
As1 0.000 0.000 0.500
Se1 0.000 0.500 0.000

***

# 10
# TlZnAsSe3 | Alexandria | GGA-PBE | relaxed
# energy relative to the elements, uncorrected: -218 kJ/mol of formula units
# size of the total moment: 0.0 μB per formula unit
# V: 328 Å³/cell
# final energy: -42.0 eV for the cell shown
data_TlZnAsSe3
_chemical_formula_sum 'Tl2 Zn2 As2 Se6'
_cell_length_a 8.846
_cell_length_b 4.012
_cell_length_c 9.667
_cell_angle_alpha 90.00
_cell_angle_beta 106.94
_cell_angle_gamma 90.00
_symmetry_space_group_name_H-M 'P 1 21/m 1'
_symmetry_Int_Tables_number 11
loop_
_symmetry_equiv_pos_as_xyz
'x,y,z'
'-x,-y,-z'
'-x,y+1/2,-z'
'x,-y+1/2,z'
loop_
_atom_site_label
_atom_site_fract_x
_atom_site_fract_y
_atom_site_fract_z
Tl1 0.196 0.250 0.236
Zn1 0.088 0.250 0.607
As1 0.336 0.750 0.880
Se1 0.127 0.250 0.873
Se2 0.209 0.750 0.528
Se3 0.451 0.750 0.145

***

# 11
# Tm3AsSe3 | Alexandria | GGA-PBE | relaxed
# energy relative to the elements, uncorrected: -1085 kJ/mol of formula units
# size of the total moment: 0.0 μB per formula unit
# V: 1058 Å³/cell
# final energy: -238.6 eV for the cell shown
data_Tm3AsSe3
_chemical_formula_sum 'Tm18 As6 Se18'
_cell_length_a 8.3717
_cell_length_b 8.3717
_cell_length_c 17.4335
_cell_angle_alpha 90.00
_cell_angle_beta 90.00
_cell_angle_gamma 120.00
_symmetry_space_group_name_H-M 'R -3'
_symmetry_Int_Tables_number 148
_symmetry_space_group_name_Hall '-R 3'
loop_
_atom_site_label
_atom_site_fract_x
_atom_site_fract_y
_atom_site_fract_z
Tm1 0.0142 0.3883 0.4209
As1 0.0000 0.0000 0.1634
Se1 0.0123 0.2745 0.5940

***

# 12
# Tm3AsSe6 | Alexandria | GGA-PBE | relaxed
# energy relative to the elements, uncorrected: -1303 kJ/mol of formula units
# size of the total moment: 0.0 μB per formula unit
# V: 1038 Å³/cell
# final energy: -209.9 eV for the cell shown
data_Tm3AsSe6
_chemical_formula_sum 'Tm12 As4 Se24'
_cell_length_a 10.938
_cell_length_b 13.742
_cell_length_c 6.903
_cell_angle_alpha 90.00
_cell_angle_beta 90.00
_cell_angle_gamma 90.00
_symmetry_space_group_name_H-M 'C m c 21'
_symmetry_Int_Tables_number 36
loop_
_symmetry_equiv_pos_as_xyz
'x,y,z'
'-x,-y,z+1/2'
'-x,y,z'
'x,-y,z+1/2'
'x+1/2,y+1/2,z'
'-x+1/2,-y+1/2,z+1/2'
'-x+1/2,y+1/2,z'
'x+1/2,-y+1/2,z+1/2'
loop_
_atom_site_label
_atom_site_fract_x
_atom_site_fract_y
_atom_site_fract_z
Tm1 0.000 0.096 0.000
Tm2 0.182 0.400 0.899
As1 0.000 0.322 0.376
Se1 0.000 0.268 0.747
Se2 0.000 0.488 0.136
Se3 0.164 0.237 0.191
Se4 0.165 0.032 0.703